Computed, not measured: a relaxed structure of LaAlF2 at the GGA-PBE level of DFT.

Cell lengths 3.2538, 3.2538, 22.7581 Å; angles 90.00, 90.00, 120.00 degrees
Space group R-3m (No. 166, hexagonal axes)
One atom of each set of equivalent atoms:
1 La 0.0000 0.0000 0.0000
2 Al 0.0000 0.0000 0.5000
3 F 0.0000 0.0000 0.4136

Properties
Uncorrected energy = -5.2229 eV/atom
E above lowest polymorph = 0 meV per atom
Density of states at the Fermi level = 7.46 states/eV/cell
Raw formation energy = -2.1198 eV per atom


Computed, not measured: a relaxed structure of La3AlF at the GGA-PBE level of DFT.

Cell lengths 5.090, 5.090, 5.090 Å; angles 90.00, 90.00, 90.00 degrees
Space group Pm-3m (No. 221)
One atom of each set of equivalent atoms:
1 La 0.000 0.000 0.500
2 Al 0.500 0.500 0.500
3 F 0.000 0.000 0.000

Properties
Uncorrected energy = -5.1660 eV/atom
E above lowest polymorph = 0 meV per atom
Density of states at the Fermi level = 6.15 states/eV/cell
Raw formation energy = -1.0868 eV per atom


Computed, not measured: a relaxed structure of LaAlF2 at the GGA-PBE level of DFT.

Cell lengths 4.3993, 4.3993, 13.0835 Å; angles 90.00, 90.00, 120.00 degrees
Space group R-3m (No. 166, hexagonal axes)
One atom of each set of equivalent atoms:
1 La 0.0000 0.0000 0.0000
2 Al 0.0000 0.0000 0.5000
3 F 0.0000 0.0000 0.1851

Properties
Uncorrected energy = -5.1297 eV/atom
E above lowest polymorph = 93 meV per atom
Density of states at the Fermi level = 0.40 states/eV/cell
Raw formation energy = -2.0265 eV per atom


Computed, not measured: a relaxed structure of LaAlF6 at the GGA-PBE level of DFT.

Cell lengths 6.028, 6.995, 4.615 Å; angles 90.00, 102.85, 90.00 degrees
Space group C2/m (No. 12)
One atom of each set of equivalent atoms:
1 La 0.000 0.000 0.000
2 Al 0.000 0.500 0.500
3 F 0.107 0.323 0.784
4 F 0.216 0.000 0.571

Properties
Uncorrected energy = -6.2887 eV/atom
Density of states at the Fermi level = 0.00 states/eV/cell
Raw formation energy = -3.8014 eV per atom


Computed, not measured: a relaxed structure of La2AlF2 at the GGA-PBE level of DFT.

Cell lengths 3.884, 3.884, 14.383 Å; angles 90.00, 90.00, 90.00 degrees
Space group I4/mmm (No. 139)
One atom of each set of equivalent atoms:
1 La 0.000 0.000 0.135
2 Al 0.000 0.000 0.500
3 F 0.000 0.500 0.250

Properties
Uncorrected energy = -5.7834 eV/atom
Density of states at the Fermi level = 5.43 states/eV/cell
Raw formation energy = -2.3154 eV per atom


Computed, not measured: a relaxed structure of LaAlF5 at the GGA-PBE level of DFT.

Cell lengths 8.935, 7.319, 7.119 Å; angles 90.00, 112.38, 90.00 degrees
Space group C2/c (No. 15)
One atom of each set of equivalent atoms:
1 La 0.000 0.013 0.250
2 Al 0.000 0.500 0.000
3 F 0.000 0.427 0.250
4 F 0.047 0.264 0.966
5 F 0.214 0.447 0.617

Properties
Uncorrected energy = -6.0637 eV/atom
Density of states at the Fermi level = 9.00 states/eV/cell
Raw formation energy = -3.4885 eV per atom


Computed, not measured: a relaxed structure of LaAlF2 at the GGA-PBE level of DFT.

Cell lengths 5.304, 5.304, 14.476 Å; angles 90.00, 90.00, 90.00 degrees
Space group I-42d (No. 122)
One atom of each set of equivalent atoms:
1 La 0.000 0.000 0.000
2 Al 0.000 0.000 0.500
3 F 0.092 0.250 0.125

Properties
Uncorrected energy = -5.2074 eV/atom
E above lowest polymorph = 15 meV per atom
Density of states at the Fermi level = 9.01 states/eV/cell
Raw formation energy = -2.1043 eV per atom


Computed, not measured: a relaxed structure of Li2LaAlF8 at the GGA-PBE level of DFT.

Cell lengths 4.531, 4.804, 6.955 Å; angles 84.77, 89.22, 87.71 degrees
Space group P-1 (No. 2)
One atom of each set of equivalent atoms:
1 Li 0.028 0.029 0.312
2 La 0.500 0.500 0.000
3 Al 0.500 0.500 0.500
4 F 0.121 0.216 0.055
5 F 0.215 0.243 0.509
6 F 0.313 0.691 0.688
7 F 0.322 0.711 0.291

Properties
Uncorrected energy = -5.7768 eV/atom
Density of states at the Fermi level = 0.00 states/eV/cell
Raw formation energy = -3.4877 eV per atom


Computed, not measured: a relaxed structure of LaAlO2F at the GGA-PBE level of DFT.

Cell lengths 3.838, 3.838, 4.012 Å; angles 90.00, 90.00, 90.00 degrees
Space group P4/mmm (No. 123)
One atom of each set of equivalent atoms:
1 La 0.000 0.000 0.000
2 Al 0.500 0.500 0.500
3 O 0.000 0.500 0.500
4 F 0.500 0.500 0.000

Properties
Uncorrected energy = -6.9161 eV/atom
Density of states at the Fermi level = 2.28 states/eV/cell
Raw formation energy = -2.8246 eV per atom


Computed, not measured: a relaxed structure of LaAlO2F at the GGA-PBE level of DFT.

Cell lengths 4.565, 4.565, 4.708 Å; angles 90.00, 90.00, 90.00 degrees
Space group P4/mmm (No. 123)
One atom of each set of equivalent atoms:
1 La 0.000 0.000 0.000
2 Al 0.500 0.500 0.500
3 O 0.000 0.500 0.000
4 F 0.000 0.000 0.500

Properties
Uncorrected energy = -5.9337 eV/atom
Density of states at the Fermi level = 4.41 states/eV/cell
Raw formation energy = -1.8421 eV per atom


Computed, not measured: a relaxed structure of Rb2LaAlF6 at the GGA-PBE level of DFT.

Cell lengths 9.571, 9.571, 9.571 Å; angles 90.00, 90.00, 90.00 degrees
Space group Fm-3m (No. 225)
One atom of each set of equivalent atoms:
1 Rb 0.250 0.250 0.250
2 La 0.000 0.000 0.000
3 Al 0.000 0.000 0.500
4 F 0.000 0.000 0.242

Properties
Uncorrected energy = -5.1175 eV/atom
Density of states at the Fermi level = 0.00 states/eV/cell
Raw formation energy = -2.9342 eV per atom


Computed, not measured: a relaxed structure of RbLa2AlF at the GGA-PBE level of DFT.

Cell lengths 5.851, 5.851, 5.180 Å; angles 90.00, 90.00, 90.00 degrees
Space group P4/mmm (No. 123)
One atom of each set of equivalent atoms:
1 Rb 0.000 0.000 0.000
2 La 0.000 0.500 0.000
3 Al 0.000 0.000 0.500
4 F 0.500 0.500 0.500

Properties
Uncorrected energy = -2.4528 eV/atom
Density of states at the Fermi level = 3.55 states/eV/cell
Raw formation energy = 0.8345 eV per atom


Computed, not measured: a relaxed structure of LaAlRe2F at the GGA-PBE level of DFT.

Cell lengths 4.477, 4.477, 4.452 Å; angles 90.00, 90.00, 90.00 degrees
Space group P4/mmm (No. 123)
One atom of each set of equivalent atoms:
1 La 0.000 0.000 0.000
2 Al 0.500 0.500 0.000
3 Re 0.000 0.500 0.500
4 F 0.500 0.500 0.500

Properties
Uncorrected energy = -6.5091 eV/atom
Density of states at the Fermi level = 5.12 states/eV/cell
Raw formation energy = 0.5784 eV per atom


Computed, not measured: a relaxed structure of LaAl2RhF at the GGA-PBE level of DFT.

Cell lengths 4.396, 4.396, 4.951 Å; angles 90.00, 90.00, 90.00 degrees
Space group P4/mmm (No. 123)
One atom of each set of equivalent atoms:
1 La 0.000 0.000 0.000
2 Al 0.000 0.500 0.500
3 Rh 0.500 0.500 0.000
4 F 0.000 0.000 0.500

Properties
Uncorrected energy = -5.0365 eV/atom
Density of states at the Fermi level = 2.13 states/eV/cell
Raw formation energy = -0.7094 eV per atom


Computed, not measured: a relaxed structure of LaAlRh2F at the GGA-PBE level of DFT.

Cell lengths 5.088, 5.088, 4.422 Å; angles 90.00, 90.00, 90.00 degrees
Space group P4/mmm (No. 123)
One atom of each set of equivalent atoms:
1 La 0.000 0.000 0.000
2 Al 0.500 0.500 0.500
3 Rh 0.000 0.500 0.000
4 F 0.000 0.000 0.500

Properties
Uncorrected energy = -5.3342 eV/atom
Density of states at the Fermi level = 3.48 states/eV/cell
Raw formation energy = -0.2854 eV per atom


Computed, not measured: a relaxed structure of LaAl2SiF at the GGA-PBE level of DFT.

Cell lengths 4.481, 4.481, 5.060 Å; angles 90.00, 90.00, 90.00 degrees
Space group P4/mmm (No. 123)
One atom of each set of equivalent atoms:
1 La 0.000 0.000 0.000
2 Al 0.000 0.500 0.500
3 Si 0.500 0.500 0.000
4 F 0.000 0.000 0.500

Properties
Uncorrected energy = -4.5732 eV/atom
Density of states at the Fermi level = 1.08 states/eV/cell
Raw formation energy = -0.6318 eV per atom


Computed, not measured: a relaxed structure of LaTaAl2F at the GGA-PBE level of DFT.

Cell lengths 4.799, 4.799, 4.321 Å; angles 90.00, 90.00, 90.00 degrees
Space group P4/mmm (No. 123)
One atom of each set of equivalent atoms:
1 La 0.000 0.000 0.000
2 Ta 0.500 0.500 0.000
3 Al 0.000 0.500 0.500
4 F 0.500 0.500 0.500

Properties
Uncorrected energy = -5.5190 eV/atom
Density of states at the Fermi level = 5.07 states/eV/cell
Raw formation energy = -0.2917 eV per atom


Computed, not measured: a relaxed structure of LaTaAlF2 at the GGA-PBE level of DFT.

Cell lengths 4.328, 4.328, 7.007 Å; angles 90.00, 90.00, 90.00 degrees
Space group P4/mmm (No. 123)
One atom of each set of equivalent atoms:
1 La 0.000 0.000 0.000
2 Ta 0.500 0.500 0.500
3 Al 0.000 0.000 0.500
4 F 0.000 0.500 0.000

Properties
Uncorrected energy = -6.0104 eV/atom
Density of states at the Fermi level = 1.75 states/eV/cell
Raw formation energy = -1.1573 eV per atom


Computed, not measured: a relaxed structure of LaTiAl2F at the GGA-PBE level of DFT.

Cell lengths 4.946, 4.946, 5.462 Å; angles 90.00, 90.00, 90.00 degrees
Space group P4/mmm (No. 123)
One atom of each set of equivalent atoms:
1 La 0.000 0.000 0.000
2 Ti 0.000 0.000 0.500
3 Al 0.000 0.500 0.500
4 F 0.500 0.500 0.000

Properties
Uncorrected energy = -4.3971 eV/atom
Density of states at the Fermi level = 4.52 states/eV/cell
Raw formation energy = 0.0387 eV per atom


Computed, not measured: a relaxed structure of Li3AlF at the GGA-PBE level of DFT.

Cell lengths 5.201, 5.201, 5.201 Å; angles 90.00, 90.00, 90.00 degrees
Space group Pm-3m (No. 221)
One atom of each set of equivalent atoms:
1 Li 0.000 0.000 0.500
2 Al 0.000 0.000 0.000
3 F 0.500 0.500 0.500

Properties
Uncorrected energy = -2.3026 eV/atom
E above lowest polymorph = 1021 meV per atom
Density of states at the Fermi level = 0.00 states/eV/cell
Raw formation energy = -0.0316 eV per atom